La2PtAu | GGA-PBE | relaxed Values from VASP.

As for the formation energy: -0.861 eV per atom. As for the symmetry: Imm2 (44). The calculation puts the total magnetization at 0.00 μB/f.u. The value obtained for the density of states at the Fermi level is 0.953 states/eV/atom. As for the total energy: -5.654 eV/atom.

```
&SYSTEM
  ibrav = 0, nat = 4, ntyp = 3
/
ATOMIC_SPECIES
La 138.91 La.upf
Au 196.97 Au.upf
Pt 195.08 Pt.upf
CELL_PARAMETERS angstrom
-4.564 2.056 6.036
-1.662 -2.609 7.205
5.150 1.915 -5.594
ATOMIC_POSITIONS crystal
La 0.963 0.963 0.000
La 0.698 0.198 0.500
Au 0.295 0.795 0.500
Pt 0.543 0.543 0.000
```